# 1
A geometry-optimized Dy2Al9Cu6 structure, computed with PBE.

Values from the calculation:
The volume is 300 Å³/cell. For the energy of formation, the calculation gives -0.236 eV/atom.

Cell and atoms, written as POSCAR:
```
Dy2Al9Cu6
1.0
5.3153 0.0000 0.0000
-2.6576 4.6032 0.0000
0.0000 0.0000 12.2524
Dy Al Cu
2 9 6
direct
0.0000 0.0000 0.6651
0.0000 0.0000 0.3349
0.5000 0.0000 0.8364
0.0000 0.5000 0.8364
0.5000 0.5000 0.8364
0.5000 0.0000 0.1636
0.0000 0.5000 0.1636
0.5000 0.5000 0.1636
0.5000 0.0000 0.5000
0.0000 0.5000 0.5000
0.5000 0.5000 0.5000
0.3333 0.6667 0.0000
0.6667 0.3333 0.0000
0.3333 0.6667 0.6677
0.6667 0.3333 0.6677
0.6667 0.3333 0.3323
0.3333 0.6667 0.3323
```

***

# 2
A geometry-optimized Dy6AlCu2 structure, computed with PBE.

Values from the calculation:
The volume is 462 Å³/cell. For the energy of formation, the calculation gives -0.204 eV/atom.

Cell and atoms, written as POSCAR:
```
Dy6AlCu2
1.0
7.9641 -0.0425 -2.8094
-4.2786 6.8741 -2.4003
0.0024 0.0425 8.4451
Dy Al Cu
12 2 4
direct
0.5398 0.7220 0.8179
0.4602 0.2780 0.1821
0.0959 0.2780 0.8179
0.9041 0.7220 0.1821
0.8076 0.7591 0.5667
0.1924 0.2409 0.4333
0.1924 0.7591 0.9516
0.8076 0.2409 0.0484
0.6968 0.3725 0.6757
0.3032 0.6275 0.3243
0.3032 0.9790 0.6757
0.6968 0.0210 0.3243
0.0000 0.5000 0.5000
0.0000 0.0000 0.0000
0.5000 0.3799 0.8799
0.5000 0.6201 0.1201
0.6610 0.0000 0.6610
0.3390 0.0000 0.3390
```

***

Summary of spin magnetization in μB/atom
0.000; 0.000
(order as listed above)